{"formula": "LaMg3Ag2", "functional": "PBE-GGA", "state": "optimized geometry", "magmom_total_mub_per_fu": 0.00, "e_tot_ev_per_atom": -2.76, "lattice_angstrom": [[-2.680, -3.651, 0.586], [7.698, -2.206, 3.670], [-5.374, 4.689, 4.631]], "species": ["Mg", "La", "Ag", "Ag", "Mg", "Ag", "La", "Ag", "Mg", "Mg", "Mg", "Mg"], "fractional_positions": [[0.393, 0.786, 0.291], [0.860, 0.720, 0.939], [0.207, 0.414, 0.718], [0.481, 0.962, 0.825], [0.953, 0.906, 0.617], [0.793, 0.586, 0.282], [0.140, 0.280, 0.061], [0.519, 0.038, 0.175], [0.047, 0.094, 0.383], [0.607, 0.214, 0.709], [0.689, 0.377, 0.461], [0.311, 0.623, 0.539]]}